Material: DyMnGa2O6
Method: DFT, PBE+U
State: optimized geometry

Values from the calculation:
- Calculated volume: 11.08 A^3/atom
- Raw total energy: -6.8089 eV/atom
- Total magnetization: 0.200 μB/atom
- Crystal system: triclinic
- Theoretical density: 6.79 g/cm3

CIF file:
```
data_DyMnGa2O6
_symmetry_space_group_name_H-M 'P 1'
_symmetry_Int_Tables_number 1
_symmetry_space_group_name_Hall 'P 1'
_cell_length_a 5.2420
_cell_length_b 5.2462
_cell_length_c 5.5368
_cell_angle_alpha 61.79
_cell_angle_beta 89.82
_cell_angle_gamma 60.07
loop_
_atom_site_label
_atom_site_type_symbol
_atom_site_fract_x
_atom_site_fract_y
_atom_site_fract_z
Dy1 Dy 0.0000 0.0000 0.0000
Mn1 Mn 0.4750 0.0491 0.4244
Ga1 Ga 0.2672 0.4649 0.8030
Ga2 Ga 0.7823 0.4369 0.3475
O1 O 0.0750 0.4918 0.1454
O2 O 0.1840 0.9303 0.6260
O3 O 0.4346 0.9285 0.1473
O4 O 0.5598 0.2585 0.6286
O5 O 0.6380 0.2883 0.1469
O6 O 0.8872 0.5560 0.6261
```